[1]
Computed, not measured: Fe2TeSe after structural relaxation at the PBE level of DFT.

Its total energy is -5.52 eV/atom. For the formation energy without anion corrections, the calculation gives 8.458 kcal/mol of atoms. Its density of states at the Fermi level is 4.853 states/eV per cell.

The space group is P4/mmm (No. 123) and the conventional cell measures 3.167, 3.167 and 6.330 Å, with angles of 90.00, 90.00 and 90.00 degrees. The asymmetric unit holds Fe at (0.000, 0.000, 0.224), Te at (0.500, 0.500, 0.500) and Se at (0.500, 0.500, 0.000).

***

[2]
Computed, not measured: FeTe2Se after structural relaxation at the PBE level of DFT.

Its total energy is -4.44 eV/atom. For the formation energy without anion corrections, the calculation gives 2.799 kcal/mol of atoms. Its density of states at the Fermi level is 13.202 states/eV per cell.

The space group is R-3m (No. 166, hexagonal axes) and the conventional cell measures 3.8293, 3.8293 and 24.0900 Å, with angles of 90.00, 90.00 and 120.00 degrees. The asymmetric unit holds Fe at (0.0000, 0.0000, 0.0000), Te at (0.0000, 0.0000, 0.3884) and Se at (0.0000, 0.0000, 0.5000).

***

[3]
Computed, not measured: FeTe2Se after structural relaxation at the PBE level of DFT.

Its total energy is -4.09 eV/atom. For the formation energy without anion corrections, the calculation gives 10.834 kcal/mol of atoms. Its density of states at the Fermi level is 6.622 states/eV per cell.

The space group is Pmmm (No. 47) and the conventional cell measures 3.851, 3.949 and 8.179 Å, with angles of 90.00, 90.00 and 90.00 degrees. The asymmetric unit holds Fe at (0.000, 0.000, 0.000), Te at (0.500, 0.000, 0.500), Te at (0.500, 0.500, 0.000) and Se at (0.000, 0.500, 0.500).

***

[4]
Computed, not measured: Fe3Te2Se after structural relaxation at the PBE level of DFT.

Its total energy is -5.97 eV/atom. For the formation energy without anion corrections, the calculation gives -2.555 kcal/mol of atoms. Its density of states at the Fermi level is 7.968 states/eV per cell.

The space group is P4mm (No. 99) and the conventional cell measures 3.609, 3.609 and 19.169 Å, with angles of 90.00, 90.00 and 90.00 degrees. The asymmetric unit holds Fe at (0.000, 0.500, 0.000), Fe at (0.000, 0.500, 0.326), Fe at (0.000, 0.500, 0.654), Te at (0.000, 0.000, 0.230), Te at (0.000, 0.000, 0.556), Te at (0.000, 0.000, 0.904), Te at (0.500, 0.500, 0.752), Se at (0.500, 0.500, 0.083) and Se at (0.500, 0.500, 0.408).

***

[5]
Computed, not measured: FeTe2Se after structural relaxation at the PBE level of DFT.

Its total energy is -4.44 eV/atom. For the formation energy without anion corrections, the calculation gives 2.758 kcal/mol of atoms. Its density of states at the Fermi level is 6.728 states/eV per cell.

The space group is C2/m (No. 12) and the conventional cell measures 7.176, 3.365 and 7.822 Å, with angles of 90.00, 92.82 and 90.00 degrees. The asymmetric unit holds Fe at (0.000, 0.000, 0.000), Te at (0.180, 0.500, 0.821) and Se at (0.000, 0.500, 0.500).

***

[6]
Computed, not measured: Th8FeTe4Se3 after structural relaxation at the PBE level of DFT.

Its total energy is -6.83 eV/atom. For the formation energy without anion corrections, the calculation gives -26.614 kcal/mol of atoms. Its density of states at the Fermi level is 33.316 states/eV per cell.

The space group is R-3m (No. 166, hexagonal axes) and the conventional cell measures 8.5572, 8.5572 and 22.0088 Å, with angles of 90.00, 90.00 and 120.00 degrees. The asymmetric unit holds Th at (0.0000, 0.0000, 0.2410), Th at (0.0247, 0.5124, 0.2369), Fe at (0.0000, 0.0000, 0.5000), Te at (0.0000, 0.0000, 0.0000), Te at (0.0000, 0.5000, 0.0000) and Se at (0.0000, 0.5000, 0.5000).

***

- What is the formation energy without anion corrections in the third record?
  10.834 kcal/mol of atoms

***

- Which of these has the highest formation energy without anion corrections?
  number 3

***

- Number 4 is which compound?
  Fe3Te2Se

***

- Which of these has the lowest formation energy without anion corrections?
  Th8FeTe4Se3